DFT (PBE-GGA) results for a geometry-optimized Pm3YTm8 structure.

The structure belongs to space group Immm (No. 71); the cell edges are 6.371, 11.246 and 11.333 Å and the angles 90.00°, 90.00° and 90.00°. Symmetry generates all atoms from Pm at (0.000, 0.000, 0.000), Pm at (0.000, 0.500, 0.248), Y at (0.000, 0.000, 0.500), Tm at (0.000, 0.170, 0.250) and Tm at (0.248, 0.253, 0.000).

As for the formation energy: 0.30 eV/atom. The total magnetic moment is 0.000 μB/atom. Its final energy is -4.4044 eV per atom. As for the volume: 33.83 A^3/atom.

DFT (PBE-GGA) results for a geometry-optimized DySn2Pd5 structure.

The structure belongs to space group Immm (No. 71); the cell edges are 4.223, 5.731 and 12.802 Å and the angles 90.00°, 90.00° and 90.00°. Symmetry generates all atoms from Dy at (0.000, 0.000, 0.000), Sn at (0.000, 0.500, 0.213), Pd at (0.000, 0.243, 0.387) and Pd at (0.000, 0.500, 0.000).

As for the formation energy: -0.66 eV/atom. The total magnetic moment is 0.000 μB/atom. Its final energy is -5.4863 eV per atom. As for the volume: 19.36 A^3/atom.